one) {"formula": "CaPr2Hg", "functional": "PBE", "state": "optimized geometry", "volume_a3_per_atom": 31.275, "m_tot_mub_per_atom": 0.00, "sg": "P4/mmm, No. 123", "lattice_angstrom": [[-4.304, 2.441, 0.543], [-0.532, -1.958, 4.584], [2.462, 3.905, 1.954]], "species": ["Pr", "Pr", "Hg", "Ca"], "fractional_positions": [[0.000, 0.500, 0.000], [0.000, 0.000, 0.500], [0.500, 0.500, 0.500], [0.500, 0.000, 0.000]]}

---

two) {"formula": "CaPr2Hg", "functional": "PBE", "state": "optimized geometry", "volume_a3_per_atom": 33.731, "m_tot_mub_per_atom": 0.00, "sg": "P4/mmm, No. 123", "lattice_angstrom": [[3.920, 0.000, 0.000], [0.000, 3.920, 0.000], [0.000, 0.000, 8.780]], "species": ["Hg", "Ca", "Pr", "Pr"], "fractional_positions": [[0.500, 0.500, 0.000], [0.500, 0.500, 0.500], [0.000, 0.000, 0.792], [0.000, 0.000, 0.208]]}

---

Verdict on stability: two) comes out on top.

---

one) {"formula": "CaPr2Hg", "functional": "PBE", "state": "optimized geometry", "volume_a3_per_atom": 33.995, "m_tot_mub_per_atom": 0.00, "sg": "Cmcm, No. 63", "lattice_angstrom": [[4.817, -0.002, 0.000], [-2.411, 6.091, 0.000], [0.000, 0.000, 9.271]], "species": ["Pr", "Pr", "Pr", "Pr", "Ca", "Ca", "Hg", "Hg"], "fractional_positions": [[0.641, 0.282, 0.454], [0.359, 0.718, 0.546], [0.641, 0.282, 0.046], [0.359, 0.718, 0.954], [0.059, 0.119, 0.750], [0.941, 0.881, 0.250], [0.771, 0.542, 0.750], [0.229, 0.458, 0.250]]}

---

two) {"formula": "CaPr2Hg", "functional": "PBE", "state": "optimized geometry", "volume_a3_per_atom": 31.604, "m_tot_mub_per_atom": 0.00, "sg": "Fm-3m, No. 225", "lattice_angstrom": [[5.633, 0.000, 0.000], [2.817, 4.879, 0.000], [2.817, 1.626, 4.600]], "species": ["Hg", "Ca", "Pr", "Pr"], "fractional_positions": [[0.000, 0.000, 0.000], [0.500, 0.500, 0.500], [0.250, 0.250, 0.250], [0.750, 0.750, 0.750]]}

---

three) {"formula": "CaPr2Hg", "functional": "PBE", "state": "optimized geometry", "volume_a3_per_atom": 34.999, "m_tot_mub_per_atom": 0.00, "sg": "R-3m, No. 166", "lattice_angstrom": [[3.806, 0.000, 0.000], [1.903, 3.296, 0.000], [1.903, 1.099, 11.161]], "species": ["Ca", "Pr", "Pr", "Hg"], "fractional_positions": [[0.500, 0.500, 0.500], [0.739, 0.739, 0.783], [0.261, 0.261, 0.217], [0.000, 0.000, 0.000]]}

---

Verdict on stability: one) comes out on top.

---

one) {"formula": "CaPrHg", "functional": "PBE", "state": "optimized geometry", "volume_a3_per_atom": 30.579, "m_tot_mub_per_atom": 0.00, "sg": "P6_3/mmc, No. 194", "lattice_angstrom": [[-0.175, 0.716, -5.434], [-4.061, -2.665, 2.544], [-3.424, 6.089, 0.913]], "species": ["Pr", "Pr", "Ca", "Ca", "Hg", "Hg"], "fractional_positions": [[0.667, 0.833, 0.750], [0.333, 0.167, 0.250], [0.000, 0.500, 0.500], [0.000, 0.500, 0.000], [0.333, 0.167, 0.750], [0.667, 0.833, 0.250]]}

---

two) {"formula": "CaPrHg", "functional": "PBE", "state": "optimized geometry", "volume_a3_per_atom": 31.439, "m_tot_mub_per_atom": 0.00, "sg": "P3m1, No. 156", "lattice_angstrom": [[-1.635, 3.081, 1.747], [2.318, -1.351, 4.552], [2.479, 3.227, -3.371]], "species": ["Hg", "Ca", "Pr"], "fractional_positions": [[0.646, 0.667, 0.333], [0.409, 0.333, 0.667], [0.944, 0.000, 0.000]]}

---

three) {"formula": "CaPrHg", "functional": "PBE", "state": "optimized geometry", "volume_a3_per_atom": 31.919, "m_tot_mub_per_atom": 0.00, "sg": "I4mm, No. 107", "lattice_angstrom": [[-1.463, 1.250, 3.206], [-1.717, -3.284, 0.497], [7.052, -1.324, 1.552]], "species": ["Ca", "Hg", "Pr"], "fractional_positions": [[0.026, 0.026, 0.052], [0.665, 0.665, 0.330], [0.309, 0.309, 0.619]]}

---

four) {"formula": "CaPrHg", "functional": "PBE", "state": "optimized geometry", "volume_a3_per_atom": 34.459, "m_tot_mub_per_atom": 0.00, "sg": "F-43m, No. 216", "lattice_angstrom": [[5.268, 0.000, 0.000], [2.634, 4.562, 0.000], [2.634, 1.521, 4.301]], "species": ["Ca", "Pr", "Hg"], "fractional_positions": [[0.500, 0.500, 0.500], [0.000, 0.000, 0.000], [0.250, 0.250, 0.250]]}

---

Verdict on stability: one) comes out on top.